Computed, not measured: an optimized crystal structure of LiTaO2F at the PBE level of DFT.

formation energy from raw total energies	-2.3324	eV per atom
mass density	5999	kg/m3
electronic total energy	-37.2	eV per cell
M_tot	0.50	μB/cell

a b c (Å): 3.9809 3.9809 4.1727
angles (deg): 90.00 90.00 90.00
With the nearest neighbours (Å) after each atom.
Space group P4/mmm (No. 123)
Symmetry-distinct sites (fractional):
1 Li 0.0000 0.0000 0.0000 x1  4 F 2.81, 8 O 2.88
2 Ta 0.5000 0.5000 0.5000 x1  4 O 1.99, 2 F 2.09
3 O 0.0000 0.5000 0.5000 x2  2 Ta 1.99
4 F 0.5000 0.5000 0.0000 x1  2 Ta 2.09



Computed, not measured: an optimized crystal structure of LiTaO2F at the PBE level of DFT.

formation energy from raw total energies	-1.4890	eV per atom
mass density	9296	kg/m3
electronic total energy	-33.0	eV per cell
M_tot	0.00	μB/cell

a b c (Å): 3.6963 3.6963 3.1232
angles (deg): 90.00 90.00 90.00
With the nearest neighbours (Å) after each atom.
Space group P4/mmm (No. 123)
Symmetry-distinct sites (fractional):
1 Li 0.0000 0.0000 0.0000 x1  2 F 1.56
2 Ta 0.5000 0.5000 0.5000 x1  8 O 2.42, 4 F 2.61
3 O 0.0000 0.5000 0.0000 x2  2 Li 1.85
4 F 0.0000 0.0000 0.5000 x1  2 Li 1.56



Computed, not measured: an optimized crystal structure of LiTiO2F at the PBE level of DFT.

formation energy from raw total energies	-2.6837	eV per atom
mass density	3018	kg/m3
electronic total energy	-35.0	eV per cell
M_tot	0.00	μB/cell

a b c (Å): 3.8208 3.8208 3.9873
angles (deg): 90.00 90.00 90.00
With the nearest neighbours (Å) after each atom.
Space group P4/mmm (No. 123)
Symmetry-distinct sites (fractional):
1 Li 0.0000 0.0000 0.0000 x1  4 F 2.70, 8 O 2.76
2 Ti 0.5000 0.5000 0.5000 x1  4 O 1.91, 2 F 1.99
3 O 0.0000 0.5000 0.5000 x2  2 Ti 1.91
4 F 0.5000 0.5000 0.0000 x1  2 Ti 1.99



Computed, not measured: an optimized crystal structure of LiTiOF2 at the PBE level of DFT.

formation energy from raw total energies	-2.6978	eV per atom
mass density	2839	kg/m3
excess energy over the best structure of this formula in the dataset	0.000	eV per formula unit
electronic total energy	-32.0	eV per cell
M_tot	1.00	μB/cell

a b c (Å): 4.0723 4.0723 3.8380
angles (deg): 90.00 90.00 90.00
With the nearest neighbours (Å) after each atom.
Space group P4/mmm (No. 123)
Symmetry-distinct sites (fractional):
1 Li 0.0000 0.0000 0.0000 x1  8 F 2.80, 4 O 2.88
2 Ti 0.5000 0.5000 0.5000 x1  2 O 1.92, 4 F 2.04
3 O 0.5000 0.5000 0.0000 x1  2 Ti 1.92
4 F 0.0000 0.5000 0.5000 x2  2 Ti 2.04



Computed, not measured: an optimized crystal structure of LiTiO2F at the PBE level of DFT.

formation energy from raw total energies	-1.6178	eV per atom
mass density	4151	kg/m3
electronic total energy	-29.7	eV per cell
M_tot	0.00	μB/cell

a b c (Å): 3.5986 3.5986 3.2685
angles (deg): 90.00 90.00 90.00
With the nearest neighbours (Å) after each atom.
Space group P4/mmm (No. 123)
Symmetry-distinct sites (fractional):
1 Li 0.0000 0.0000 0.0000 x1  2 F 1.63, 4 O 1.80
2 Ti 0.5000 0.5000 0.5000 x1  8 O 2.43, 4 F 2.54
3 O 0.0000 0.5000 0.0000 x2  2 Li 1.80
4 F 0.0000 0.0000 0.5000 x1  2 Li 1.63



Computed, not measured: an optimized crystal structure of LiTiO4F3 at the PBE level of DFT.

formation energy from raw total energies	-1.9591	eV per atom
mass density	2231	kg/m3
electronic total energy	-211.5	eV per cell
M_tot	8.19	μB/cell

a b c (Å): 8.8287 8.3180 7.1277
angles (deg): 90.00 90.00 90.00
With the nearest neighbours (Å) after each atom.
Space group Cmcm (No. 63)
Symmetry-distinct sites (fractional):
1 Li 0.0000 0.1778 0.2500 x4  3 F 1.87-1.90
2 Ti 0.0000 0.2742 0.7500 x4  3 F 1.87-1.89, 4 O 2.02-2.06
3 O 0.1650 0.4427 0.7500 x8  1 O 1.33
4 O 0.2324 0.2991 0.7500 x8  1 O 1.33
5 F 0.0000 0.0470 0.7500 x4  1 Li 1.87, 1 Ti 1.89
6 F 0.0000 0.2807 0.0125 x8  1 Ti 1.87, 1 Li 1.90



Computed, not measured: an optimized crystal structure of LiTiOF2 at the PBE level of DFT.

formation energy from raw total energies	-2.1057	eV per atom
mass density	3994	kg/m3
excess energy over the best structure of this formula in the dataset	2.961	eV per formula unit
electronic total energy	-29.0	eV per cell
M_tot	1.00	μB/cell

a b c (Å): 3.3678 3.3678 3.9882
angles (deg): 90.00 90.00 90.00
With the nearest neighbours (Å) after each atom.
Space group P4/mmm (No. 123)
Symmetry-distinct sites (fractional):
1 Li 0.0000 0.0000 0.0000 x1  4 F 1.68
2 Ti 0.5000 0.5000 0.5000 x1  4 O 2.38, 8 F 2.61
3 O 0.0000 0.0000 0.5000 x1  2 Li 1.99
4 F 0.0000 0.5000 0.0000 x2  2 Li 1.68



Computed, not measured: an optimized crystal structure of LiTlOF2 at the PBE level of DFT.

formation energy from raw total energies	-1.4445	eV per atom
mass density	5138	kg/m3
excess energy over the best structure of this formula in the dataset	0.254	eV per formula unit
electronic total energy	-20.2	eV per cell
M_tot	0.00	μB/cell

a b c (Å): 4.5767 4.5767 4.0938
angles (deg): 90.00 90.00 90.00
With the nearest neighbours (Å) after each atom.
Space group P4/mmm (No. 123)
Symmetry-distinct sites (fractional):
1 Li 0.0000 0.0000 0.0000 x1  8 F 3.07, 4 O 3.24
2 Tl 0.5000 0.5000 0.5000 x1  2 O 2.05, 4 F 2.29
3 O 0.5000 0.5000 0.0000 x1  2 Tl 2.05
4 F 0.0000 0.5000 0.5000 x2  2 Tl 2.29



Computed, not measured: an optimized crystal structure of LiTlO2F at the PBE level of DFT.

formation energy from raw total energies	-0.8066	eV per atom
mass density	7974	kg/m3
electronic total energy	-20.1	eV per cell
M_tot	1.25	μB/cell

a b c (Å): 3.8465 3.8465 3.6921
angles (deg): 90.00 90.00 90.00
With the nearest neighbours (Å) after each atom.
Space group P4/mmm (No. 123)
Symmetry-distinct sites (fractional):
1 Li 0.0000 0.0000 0.0000 x1  2 F 1.85, 4 O 1.92
2 Tl 0.5000 0.5000 0.5000 x1  8 O 2.67, 4 F 2.72
3 O 0.0000 0.5000 0.0000 x2  2 Li 1.92
4 F 0.0000 0.0000 0.5000 x1  2 Li 1.85



Computed, not measured: an optimized crystal structure of LiTlO2F at the PBE level of DFT.

formation energy from raw total energies	-0.8246	eV per atom
mass density	5354	kg/m3
electronic total energy	-20.2	eV per cell
M_tot	0.50	μB/cell

a b c (Å): 4.1960 4.1960 4.6207
angles (deg): 90.00 90.00 90.00
With the nearest neighbours (Å) after each atom.
Space group P4/mmm (No. 123)
Symmetry-distinct sites (fractional):
1 Li 0.0000 0.0000 0.0000 x1  4 F 2.97, 8 O 3.12
2 Tl 0.5000 0.5000 0.5000 x1  4 O 2.10, 2 F 2.31
3 O 0.0000 0.5000 0.5000 x2  2 Tl 2.10
4 F 0.5000 0.5000 0.0000 x1  2 Tl 2.31



Computed, not measured: an optimized crystal structure of LiTlOF2 at the PBE level of DFT.

formation energy from raw total energies	-1.4952	eV per atom
mass density	8037	kg/m3
excess energy over the best structure of this formula in the dataset	0.000	eV per formula unit
electronic total energy	-20.5	eV per cell
M_tot	0.00	μB/cell

a b c (Å): 3.6239 3.6239 4.1745
angles (deg): 90.00 90.00 90.00
With the nearest neighbours (Å) after each atom.
Space group P4/mmm (No. 123)
Symmetry-distinct sites (fractional):
1 Li 0.0000 0.0000 0.0000 x1  4 F 1.81
2 Tl 0.5000 0.5000 0.5000 x1  4 O 2.56, 8 F 2.76
3 O 0.0000 0.0000 0.5000 x1  2 Li 2.09
4 F 0.0000 0.5000 0.0000 x2  2 Li 1.81



Computed, not measured: an optimized crystal structure of LiUO4F at the PBE level of DFT.

formation energy from raw total energies	-2.4220	eV per atom
mass density	5124	kg/m3
electronic total energy	-207.4	eV per cell
M_tot	0.00	μB/cell

a b c (Å): 9.8274 6.4574 6.7804
angles (deg): 90.00 98.86 90.00
With the nearest neighbours (Å) after each atom.
Space group C2/m (No. 12)
Symmetry-distinct sites (fractional):
1 Li 0.1050 0.0000 0.3058 x4  4 O 1.96-1.99
2 U 0.1938 0.5000 0.1068 x4  2 O 1.91
3 O 0.0974 0.0000 0.7253 x4  1 O 1.43
4 O 0.1746 0.2072 0.1289 x8  1 U 1.91, 1 Li 1.99
5 O 0.1920 0.0000 0.5855 x4  1 O 1.43
6 F 0.0293 0.5000 0.8181 x4  2 U 2.33-2.34